# CuHgPb, relaxed, DFT PBE-GGA
# Formation energy from the elements: 4.39 kcal/mol of atoms
data_CuHgPb
_chemical_formula_sum 'Cu2 Hg2 Pb2'
_space_group_name_H-M_alt 'I 4 m m'
_space_group_IT_number 107
_space_group_name_Hall 'I 4 -2'
_cell_length_a 3.361
_cell_length_b 3.361
_cell_length_c 11.889
_cell_angle_alpha 90.00
_cell_angle_beta 90.00
_cell_angle_gamma 90.00
loop_
_atom_site_label
_atom_site_fract_x
_atom_site_fract_y
_atom_site_fract_z
_atom_site_occupancy
Cu1 0.000 0.000 0.000 1
Hg1 0.000 0.000 0.372 1
Pb1 0.000 0.000 0.656 1

# LiInRuW, relaxed, DFT PBE-GGA
# Formation energy from the elements: 0.91 kcal/mol of atoms
data_LiInRuW
_chemical_formula_sum 'Li4 In4 Ru4 W4'
_space_group_name_H-M_alt 'F -4 3 m'
_space_group_IT_number 216
_space_group_name_Hall 'F -4 2 3'
_cell_length_a 6.261
_cell_length_b 6.261
_cell_length_c 6.261
_cell_angle_alpha 90.00
_cell_angle_beta 90.00
_cell_angle_gamma 90.00
loop_
_atom_site_label
_atom_site_fract_x
_atom_site_fract_y
_atom_site_fract_z
_atom_site_occupancy
Li1 0.000 0.000 0.000 1
In1 0.250 0.250 0.250 1
Ru1 0.000 0.000 0.500 1
W1 0.250 0.250 0.750 1

VASP calculation (PBE-GGA) on a geometry-optimized Cs2TbGe2O6 structure.

```
data_Cs2TbGe2O6
_chemical_formula_sum 'Cs6 Tb3 Ge6 O18'
_space_group_name_H-M_alt 'R -3 m'
_space_group_IT_number 166
_space_group_name_Hall '-R 3 2"'
_cell_length_a 6.2125
_cell_length_b 6.2125
_cell_length_c 18.4668
_cell_angle_alpha 90.00
_cell_angle_beta 90.00
_cell_angle_gamma 120.00
loop_
_atom_site_label
_atom_site_fract_x
_atom_site_fract_y
_atom_site_fract_z
_atom_site_occupancy
Cs1 0.0000 0.0000 0.2203 1
Tb1 0.0000 0.0000 0.0000 1
Ge1 0.0000 0.0000 0.4256 1
O1 0.0151 0.5076 0.2617 1
```

# Er4GaRu3, relaxed, DFT PBE-GGA
# Formation energy from the elements: -10.79 kcal/mol of atoms
data_Er4GaRu3
_chemical_formula_sum 'Er4 Ga1 Ru3'
_space_group_name_H-M_alt 'P 4/m m m'
_space_group_IT_number 123
_space_group_name_Hall '-P 4 2'
_cell_length_a 4.811
_cell_length_b 4.811
_cell_length_c 6.885
_cell_angle_alpha 90.00
_cell_angle_beta 90.00
_cell_angle_gamma 90.00
loop_
_atom_site_label
_atom_site_fract_x
_atom_site_fract_y
_atom_site_fract_z
_atom_site_occupancy
Er1 0.000 0.500 0.241 1
Ga1 0.000 0.000 0.500 1
Ru1 0.000 0.000 0.000 1
Ru2 0.500 0.500 0.000 1
Ru3 0.500 0.500 0.500 1

VASP calculation (PBE-GGA) on a geometry-optimized MoAsBr2 structure.

```
data_MoAsBr2
_chemical_formula_sum 'Mo4 As4 Br8'
_space_group_name_H-M_alt 'F -4 3 m'
_space_group_IT_number 216
_space_group_name_Hall 'F -4 2 3'
_cell_length_a 6.909
_cell_length_b 6.909
_cell_length_c 6.909
_cell_angle_alpha 90.00
_cell_angle_beta 90.00
_cell_angle_gamma 90.00
loop_
_atom_site_label
_atom_site_fract_x
_atom_site_fract_y
_atom_site_fract_z
_atom_site_occupancy
Mo1 0.000 0.000 0.000 1
As1 0.250 0.250 0.750 1
Br1 0.000 0.000 0.500 1
Br2 0.250 0.250 0.250 1
```

# BeCoW2, relaxed, DFT PBE-GGA
# Formation energy from the elements: 4.05 kcal/mol of atoms
data_BeCoW2
_chemical_formula_sum 'Be1 Co1 W2'
_space_group_name_H-M_alt 'P m m m'
_space_group_IT_number 47
_cell_length_a 3.612
_cell_length_b 3.754
_cell_length_c 3.835
_cell_angle_alpha 90.00
_cell_angle_beta 90.00
_cell_angle_gamma 90.00
loop_
_space_group_symop_operation_xyz
'x,y,z'
'-x,-y,-z'
'-x,-y,z'
'x,y,-z'
'x,-y,-z'
'-x,y,z'
'-x,y,-z'
'x,-y,z'
loop_
_atom_site_label
_atom_site_fract_x
_atom_site_fract_y
_atom_site_fract_z
_atom_site_occupancy
Be1 0.000 0.000 0.000 1
Co1 0.000 0.500 0.500 1
W1 0.500 0.000 0.500 1
W2 0.500 0.500 0.000 1

# NpAl3Ni, relaxed, DFT PBE-GGA
# Formation energy from the elements: -7.64 kcal/mol of atoms
data_NpAl3Ni
_chemical_formula_sum 'Np4 Al12 Ni4'
_space_group_name_H-M_alt 'P n m a'
_space_group_IT_number 62
_cell_length_a 7.963
_cell_length_b 3.648
_cell_length_c 11.114
_cell_angle_alpha 90.00
_cell_angle_beta 90.00
_cell_angle_gamma 90.00
loop_
_space_group_symop_operation_xyz
'x,y,z'
'-x,-y,-z'
'-x+1/2,-y,z+1/2'
'x+1/2,y,-z+1/2'
'x+1/2,-y+1/2,-z+1/2'
'-x+1/2,y+1/2,z+1/2'
'-x,y+1/2,-z'
'x,-y+1/2,z'
loop_
_atom_site_label
_atom_site_fract_x
_atom_site_fract_y
_atom_site_fract_z
_atom_site_occupancy
Np1 0.102 0.250 0.002 1
Al1 0.069 0.250 0.422 1
Al2 0.107 0.750 0.228 1
Al3 0.146 0.750 0.779 1
Ni1 0.126 0.250 0.634 1

# Cr2CoAg, relaxed, DFT PBE-GGA
# Formation energy from the elements: 11.40 kcal/mol of atoms
data_Cr2CoAg
_chemical_formula_sum 'Cr2 Co1 Ag1'
_space_group_name_H-M_alt 'P 1 2/m 1'
_space_group_IT_number 10
_cell_length_a 4.380
_cell_length_b 2.889
_cell_length_c 4.549
_cell_angle_alpha 90.00
_cell_angle_beta 103.96
_cell_angle_gamma 90.00
loop_
_space_group_symop_operation_xyz
'x,y,z'
'-x,-y,-z'
'-x,y,-z'
'x,-y,z'
loop_
_atom_site_label
_atom_site_fract_x
_atom_site_fract_y
_atom_site_fract_z
_atom_site_occupancy
Cr1 0.000 0.000 0.000 1
Cr2 0.500 0.500 0.000 1
Co1 0.000 0.500 0.500 1
Ag1 0.500 0.000 0.500 1

# La6Nd3Sm2, relaxed, DFT PBE-GGA
# Formation energy from the elements: 0.39 kcal/mol of atoms
data_La6Nd3Sm2
_chemical_formula_sum 'La6 Nd3 Sm2'
_space_group_name_H-M_alt 'P -1'
_space_group_IT_number 2
_cell_length_a 6.442
_cell_length_b 8.250
_cell_length_c 8.259
_cell_angle_alpha 107.32
_cell_angle_beta 97.00
_cell_angle_gamma 104.90
loop_
_space_group_symop_operation_xyz
'x,y,z'
'-x,-y,-z'
loop_
_atom_site_label
_atom_site_fract_x
_atom_site_fract_y
_atom_site_fract_z
_atom_site_occupancy
La1 0.047 0.180 0.409 1
La2 0.136 0.546 0.227 1
La3 0.319 0.271 0.866 1
Nd1 0.409 0.638 0.683 1
Nd2 0.500 0.000 0.500 1
Sm1 0.227 0.910 0.046 1

# CdFeCuC2, relaxed, DFT PBE-GGA
# Formation energy from the elements: 45.54 kcal/mol of atoms
data_CdFeCuC2
_chemical_formula_sum 'Cd1 Fe1 Cu1 C2'
_space_group_name_H-M_alt 'P 4/m m m'
_space_group_IT_number 123
_space_group_name_Hall '-P 4 2'
_cell_length_a 3.831
_cell_length_b 3.831
_cell_length_c 4.703
_cell_angle_alpha 90.00
_cell_angle_beta 90.00
_cell_angle_gamma 90.00
loop_
_atom_site_label
_atom_site_fract_x
_atom_site_fract_y
_atom_site_fract_z
_atom_site_occupancy
Cd1 0.000 0.000 0.000 1
Fe1 0.500 0.500 0.000 1
Cu1 0.500 0.500 0.500 1
C1 0.000 0.500 0.500 1

VASP calculation (PBE-GGA) on a geometry-optimized Rb3Cr2CuCl9 structure.

```
data_Rb3Cr2CuCl9
_chemical_formula_sum 'Rb3 Cr2 Cu1 Cl9'
_space_group_name_H-M_alt 'P -3 m 1'
_space_group_IT_number 164
_space_group_name_Hall '-P 3 2"'
_cell_length_a 7.0225
_cell_length_b 7.0225
_cell_length_c 8.6077
_cell_angle_alpha 90.00
_cell_angle_beta 90.00
_cell_angle_gamma 120.00
loop_
_atom_site_label
_atom_site_fract_x
_atom_site_fract_y
_atom_site_fract_z
_atom_site_occupancy
Rb1 0.0000 0.0000 0.0000 1
Rb2 0.3333 0.6667 0.6607 1
Cr1 0.3333 0.6667 0.1710 1
Cu1 0.0000 0.0000 0.5000 1
Cl1 0.0000 0.5000 0.0000 1
Cl2 0.1694 0.3387 0.3288 1
```

# MgCoP, relaxed, DFT PBE-GGA
# Formation energy from the elements: -5.15 kcal/mol of atoms
data_MgCoP
_chemical_formula_sum 'Mg4 Co4 P4'
_space_group_name_H-M_alt 'F -4 3 m'
_space_group_IT_number 216
_space_group_name_Hall 'F -4 2 3'
_cell_length_a 5.671
_cell_length_b 5.671
_cell_length_c 5.671
_cell_angle_alpha 90.00
_cell_angle_beta 90.00
_cell_angle_gamma 90.00
loop_
_atom_site_label
_atom_site_fract_x
_atom_site_fract_y
_atom_site_fract_z
_atom_site_occupancy
Mg1 0.000 0.000 0.000 1
Co1 0.000 0.000 0.500 1
P1 0.250 0.250 0.250 1

VASP calculation (PBE-GGA) on a geometry-optimized HfZnN2O structure.

```
data_HfZnN2O
_chemical_formula_sum 'Hf1 Zn1 N2 O1'
_space_group_name_H-M_alt 'P 4/m m m'
_space_group_IT_number 123
_space_group_name_Hall '-P 4 2'
_cell_length_a 3.778
_cell_length_b 3.778
_cell_length_c 3.730
_cell_angle_alpha 90.00
_cell_angle_beta 90.00
_cell_angle_gamma 90.00
loop_
_atom_site_label
_atom_site_fract_x
_atom_site_fract_y
_atom_site_fract_z
_atom_site_occupancy
Hf1 0.000 0.000 0.000 1
Zn1 0.500 0.500 0.500 1
N1 0.000 0.500 0.500 1
O1 0.500 0.500 0.000 1
```

Short version: DFT total energy = -15.07, -106.89, -202.34, -52.85, -62.77, -36.04, -126.43, -27.23, -53.12, -22.05, -62.87, -59.12, -32.41 eV/cell, in the order given.
Short version: DOS at the Fermi energy = 2.91, 2.54, 4.35, 4.23, 12.23, 3.09, 20.45, 4.89, 21.02, 1.27, 2.91, 10.77, 1.84 states/eV per cell, in the order given.